VASP calculation (PBE with a Hubbard U) on crystalline CaLaFeAgO6 at its relaxed geometry.

Calculated values
D(E_F) = 0.19 states/eV/atom
SG = Pc, No. 7
Crystal system = monoclinic
Energy = -6.3233 eV per atom

```
20
Lattice="5.5831 0.0000 0.0000 0.0000 5.8322 0.0000 -5.5392 0.0000 7.8176" Properties=species:S:1:pos:R:3 pbc="T T T"
Ca 0.0000 1.0830 0.0000
Ca -2.7696 4.7492 3.9088
La 0.1884 1.7994 3.9226
La 2.9580 4.0328 0.0138
Fe 2.8962 1.4378 1.9549
Fe 0.1266 4.3944 5.8637
Ag -2.6705 1.4497 5.8784
Ag 0.0991 4.3826 1.9696
O -1.1070 2.5201 1.5724
O -3.8766 3.3121 5.4812
O -2.1494 1.2454 3.8811
O -4.9190 4.5868 7.7899
O 2.2959 1.6404 0.0471
O -0.4737 4.1918 3.9559
O 1.3199 0.3700 2.3413
O -1.4497 5.4622 6.2501
O -0.9355 2.6695 6.2747
O 1.8341 3.1627 2.3659
O 1.1915 0.2365 5.4854
O 3.9611 5.5957 1.5766
```